A relaxed structure of ZnRe2Tc. Source: Alexandria via LeMat-Bulk, functional PBE.

Values from the calculation:
- crystal system = orthorhombic
- VASP energy (eV per atom) = -8.898
- formation energy from the elements (eV/atom) = 0.24

Cell lengths 2.692, 2.692, 9.050 Å; angles 90.00, 90.00, 114.34 degrees
Element x y z (fractional)
Zn 0.000 0.000 0.000
Re 0.000 0.000 0.503
Re 0.500 0.500 0.254
Tc 0.500 0.500 0.750